# 1
Compound: SrZn5Ir2
Source: the Alexandria database
Functional: PBE-GGA
Structure: relaxed

extended XYZ file:
```
8
Lattice="4.1637 0.0000 0.0000 2.0818 6.2709 -0.0453 2.0818 1.8434 5.9940" Properties=species:S:1:pos:R:3 pbc="T T T"
Zn 4.1637 1.8638 3.0538
Ir 6.2455 6.0366 4.4255
Ir 2.0818 2.0777 1.5232
Sr 0.0000 0.0000 0.0000
Zn 4.1637 3.4731 0.8587
Zn 4.1637 4.6412 5.0900
Zn 2.0818 4.0572 2.9743
Zn 4.1637 6.2505 2.8948
```

## Properties
SG: Immm (71)
E_form: -0.24 eV/atom
Final energy: -3.4571 eV per atom
Magnetization: 0.000 μB per atom



# 2
Compound: SrZnIr2
Source: the Alexandria database
Functional: PBE-GGA
Structure: relaxed

extended XYZ file:
```
4
Lattice="-0.4627 -2.7407 1.5892 0.0783 -1.6146 -2.7637 7.1100 -0.8094 0.6744" Properties=species:S:1:pos:R:3 pbc="T T T"
Zn 5.1403 -2.7846 -0.0815
Ir 3.9677 -0.4517 0.3763
Ir 6.6973 -0.7624 0.6352
Sr 1.5853 -2.3800 -0.4187
```

## Properties
SG: P4/mmm (123)
E_form: 0.17 eV/atom
Final energy: -5.0004 eV per atom
Magnetization: 0.000 μB per atom



# 3
Compound: Sr3ZnIr
Source: the Alexandria database
Functional: PBE-GGA
Structure: relaxed

extended XYZ file:
```
5
Lattice="5.8017 0.0000 0.0000 0.0000 5.8017 0.0000 0.0000 0.0000 5.8017" Properties=species:S:1:pos:R:3 pbc="T T T"
Ir 0.0000 0.0000 0.0000
Sr 0.0000 0.0000 2.9008
Zn 2.9008 2.9008 2.9008
Sr 0.0000 2.9008 0.0000
Sr 2.9008 0.0000 0.0000
```

## Properties
SG: Pm-3m (221)
Offset from the most stable computed form: 179 meV/atom
E_form: -0.03 eV/atom
Final energy: -3.0671 eV per atom
Magnetization: 0.000 μB per atom



# 4
Compound: SrZn3Ir
Source: the Alexandria database
Functional: PBE-GGA
Structure: relaxed

extended XYZ file:
```
20
Lattice="6.0760 0.0000 0.0000 0.0000 11.1527 0.0000 0.0000 0.0000 5.8796" Properties=species:S:1:pos:R:3 pbc="T T T"
Sr 3.0380 5.5764 0.0000
Zn 4.7264 2.7882 4.2212
Ir 4.6353 2.7882 1.5904
Ir 1.4408 8.3646 4.2891
Ir 4.4788 8.3646 4.5302
Ir 1.5972 2.7882 1.3494
Zn 2.9972 4.2849 2.8698
Zn 6.0353 1.2914 0.0700
Zn 3.0788 9.8613 3.0098
Sr 0.0000 0.0000 2.9398
Zn 0.0408 9.8613 5.8096
Zn 6.0353 4.2849 0.0700
Zn 2.9972 1.2914 2.8698
Zn 4.3877 8.3646 1.2814
Zn 0.0408 6.8678 5.8096
Zn 1.6884 2.7882 4.5982
Sr 0.0000 5.5764 2.9398
Zn 1.3496 8.3646 1.6584
Zn 3.0788 6.8678 3.0098
Sr 3.0380 0.0000 0.0000
```

## Properties
SG: Pnma (62)
Offset from the most stable computed form: 154 meV/atom
E_form: -0.18 eV/atom
Final energy: -3.0549 eV per atom
Magnetization: 0.000 μB per atom



# 5
Compound: SrZn2Ir3
Source: the Alexandria database
Functional: PBE-GGA
Structure: relaxed

extended XYZ file:
```
12
Lattice="5.0344 0.0000 0.0000 0.0000 6.5950 -1.5421 0.0000 0.5002 6.7544" Properties=species:S:1:pos:R:3 pbc="T T T"
Ir 1.2586 0.5065 0.3721
Zn 2.5172 1.8579 4.9063
Ir 1.2586 0.5709 3.0022
Zn 0.0000 5.2373 0.3061
Sr 1.2586 4.8467 3.5605
Ir 3.7758 6.5888 4.8403
Ir 1.2586 3.0356 -0.3528
Sr 3.7758 2.2486 1.6519
Ir 3.7758 4.0597 5.5652
Zn 0.0000 1.8579 4.9063
Ir 3.7758 6.5244 2.2101
Zn 2.5172 5.2373 0.3061
```

## Properties
SG: Cmcm (63)
E_form: -0.11 eV/atom
Final energy: -5.2415 eV per atom
Magnetization: 0.000 μB per atom



# 6
Compound: SrZnIr2
Source: the Alexandria database
Functional: PBE-GGA
Structure: relaxed

extended XYZ file:
```
4
Lattice="-3.5397 -1.6672 -3.2847 -4.1532 -1.4061 2.6215 2.7648 4.2948 0.0973" Properties=species:S:1:pos:R:3 pbc="T T T"
Zn -2.3107 0.5454 -1.7595
Sr -2.6174 0.6760 1.1936
Ir -3.8465 -1.5366 -0.3316
Ir 0.0000 0.0000 0.0000
```

## Properties
SG: I4/mmm (139)
E_form: 0.34 eV/atom
Final energy: -4.8342 eV per atom
Magnetization: 0.000 μB per atom



# 7
Compound: Sr4ZnIr
Source: the Alexandria database
Functional: PBE-GGA
Structure: relaxed

extended XYZ file:
```
6
Lattice="-5.0914 -1.9271 3.6417 -4.6980 4.2792 1.5861 -5.9463 -0.5163 -2.6969" Properties=species:S:1:pos:R:3 pbc="T T T"
Sr -8.8837 0.4256 -0.4152
Sr -8.4522 -0.2865 2.7843
Zn -11.8019 1.3768 1.8982
Sr -8.2536 2.8462 1.7467
Ir 0.0000 0.0000 0.0000
Sr -5.8822 0.6862 0.9461
```

## Properties
SG: F-43m (216)
E_form: 0.93 eV/atom
Final energy: -1.8815 eV per atom
Magnetization: 0.000 μB per atom



# 8
Compound: Sr3Zn8Ir
Source: the Alexandria database
Functional: PBE-GGA
Structure: relaxed

extended XYZ file:
```
12
Lattice="-4.5504 1.8078 2.6284 -4.9897 -0.5527 -2.3834 -4.1446 -7.6743 3.9778" Properties=species:S:1:pos:R:3 pbc="T T T"
Ir -9.9318 -2.0311 1.8271
Sr -9.5664 1.0346 0.3512
Zn -3.5982 -3.0901 1.7708
Zn -9.5219 -4.8060 1.6124
Sr -7.1992 -6.2037 3.5528
Zn -7.4624 -1.2570 -0.3049
Zn -10.4395 -6.2907 3.8778
Sr -6.8301 -3.1072 2.0621
Zn -11.7161 -3.9343 2.8799
Zn -4.9505 -0.9788 0.8949
Zn -9.3100 -3.6678 4.0292
Zn -7.2412 -0.0687 2.2180
```

## Properties
SG: R3m (160)
E_form: -0.08 eV/atom
Final energy: -2.0924 eV per atom
Magnetization: 0.000 μB per atom



| no. | Fermi-level density of states (states/eV per cell) |
| --- | --- |
| 1 | 3.0 |
| 2 | 4.7 |
| 3 | 2.1 |
| 4 | 12.0 |
| 5 | 9.5 |
| 6 | 3.4 |
| 7 | 7.3 |
| 8 | 4.9 |